(one)
Below is a relaxed structure of GaBi2As2, with properties calculated at the GGA-PBE level.

Cell lengths 5.5021, 5.5021, 6.4132 Å; angles 64.60, 64.60, 90.00 degrees
With the nearest neighbours (Å) after each atom.
Element x y z (fractional)
As: 0.2500 0.7500 0.5000  4 Bi 2.91
Bi: 0.6559 0.6559 0.6882  4 As 2.91, 1 Bi 3.18
As: 0.7500 0.2500 0.5000  4 Bi 2.91
Bi: 0.3441 0.3441 0.3118  4 As 2.91, 1 Bi 3.18
Ga: 0.0000 0.0000 0.0000  2 Bi 3.51, 8 As 3.75

Volume: 154 Å³ per cell
Space-group type: I4/mmm
Total magnetization: 0.0 μB per formula unit

***

(two)
Below is a relaxed structure of GaBi2As2, with properties calculated at the GGA-PBE level.

Cell lengths 7.9783, 7.9783, 4.0506 Å; angles 90.00, 90.00, 90.00 degrees
With the nearest neighbours (Å) after each atom.
Element x y z (fractional)
Bi: 0.1535 0.6535 0.5000  6 As 2.93-3.21
Ga: 0.5000 0.5000 0.0000  4 As 3.00
As: 0.3412 0.8412 0.0000  6 Bi 2.93-3.21, 2 Ga 3.00
Ga: 0.0000 0.0000 0.0000  4 As 3.00
As: 0.6588 0.1588 0.0000  6 Bi 2.93-3.21, 2 Ga 3.00
Bi: 0.3465 0.1535 0.5000  6 As 2.93-3.21
Bi: 0.6535 0.8465 0.5000  6 As 2.93-3.21
As: 0.1588 0.3412 0.0000  6 Bi 2.93-3.21, 2 Ga 3.00
As: 0.8412 0.6588 0.0000  6 Bi 2.93-3.21, 2 Ga 3.00
Bi: 0.8465 0.3465 0.5000  6 As 2.93-3.21

Volume: 258 Å³ per cell
Space-group type: P4/mbm
Total magnetization: 0.0 μB per formula unit

***

Stability comparison, relative energies in meV/atom: (one) 81; (two) 0

***

(one)
Below is a relaxed structure of ScGaBiAs2, with properties calculated at the GGA-PBE level.

Cell lengths 4.9031, 5.2536, 4.9031 Å; angles 90.00, 90.00, 90.00 degrees
With the nearest neighbours (Å) after each atom.
Element x y z (fractional)
Sc: 0.0000 0.5000 0.0000  2 Ga 2.63
As: 0.0000 0.0000 0.5000  2 Ga 2.45
Ga: 0.0000 0.0000 0.0000  4 As 2.45, 2 Sc 2.63
Bi: 0.5000 0.5000 0.5000  4 Sc 3.47, 8 As 3.59
As: 0.5000 0.0000 0.0000  2 Ga 2.45

Volume: 126 Å³ per cell
Space-group type: P4/mmm
Total magnetization: 0.0 μB per formula unit

***

(two)
Below is a relaxed structure of ScGaBiAs2, with properties calculated at the GGA-PBE level.

Cell lengths 5.1341, 5.1934, 5.1341 Å; angles 90.00, 90.00, 90.00 degrees
With the nearest neighbours (Å) after each atom.
Element x y z (fractional)
Bi: 0.5000 0.5000 0.5000  4 Ga 3.63, 8 As 3.65
As: 0.5000 0.0000 0.0000  2 Sc 2.57
Ga: 0.0000 0.5000 0.0000  2 Sc 2.60
Sc: 0.0000 0.0000 0.0000  4 As 2.57, 2 Ga 2.60
As: 0.0000 0.0000 0.5000  2 Sc 2.57

Volume: 137 Å³ per cell
Space-group type: P4/mmm
Total magnetization: 0.0 μB per formula unit

***

Stability comparison, relative energies in meV/atom: (one) 67; (two) 0

***

(one)
Below is a relaxed structure of GeBi2As, with properties calculated at the GGA-PBE level.

Cell lengths 6.3447, 6.3447, 8.5347 Å; angles 68.18, 68.18, 90.00 degrees
With the nearest neighbours (Å) after each atom.
Element x y z (fractional)
Bi: 0.1249 0.6250 0.2500  2 As 2.89, 2 Ge 2.89
Ge: 0.5000 0.5000 0.0000  4 Bi 2.89
Bi: 0.8750 0.8751 0.7500  2 As 2.89, 2 Ge 2.89
Bi: 0.6251 0.1250 0.2500  2 As 2.89, 2 Ge 2.89
As: 0.7500 0.2500 0.5000  4 Bi 2.89
As: 0.0000 0.0000 0.0000  4 Bi 2.89
Ge: 0.2500 0.7500 0.5000  4 Bi 2.89
Bi: 0.3750 0.3749 0.7500  2 As 2.89, 2 Ge 2.89

Volume: 292 Å³ per cell
Space-group type: I-42d
Total magnetization: 0.0 μB per formula unit

***

(two)
Below is a relaxed structure of GeBi2As, with properties calculated at the GGA-PBE level.

Cell lengths 5.2504, 5.2504, 5.2504 Å; angles 60.00, 60.00, 60.00 degrees
With the nearest neighbours (Å) after each atom.
Element x y z (fractional)
Bi: 0.2500 0.2500 0.2500  4 Ge 3.22, 4 As 3.22
Bi: 0.7500 0.7500 0.7500  4 Ge 3.22, 4 As 3.22
As: 0.5000 0.5000 0.5000  8 Bi 3.22
Ge: 0.0000 0.0000 0.0000  8 Bi 3.22

Volume: 102 Å³ per cell
Space-group type: Fm-3m
Total magnetization: 0.0 μB per formula unit

***

Stability comparison, relative energies in meV/atom: (one) 21; (two) 0

***

(one)
Below is a relaxed structure of GeBiAs, with properties calculated at the GGA-PBE level.

Cell lengths 3.9865, 3.9865, 5.3875 Å; angles 90.00, 90.00, 120.00 degrees
With the nearest neighbours (Å) after each atom.
Element x y z (fractional)
As: 0.3333 0.6667 0.6290  3 Ge 2.68
Bi: 0.0000 0.0000 0.9975  3 As 3.04, 3 Ge 3.07
Ge: 0.6667 0.3333 0.3736  3 As 2.68

Volume: 74 Å³ per cell
Space-group type: P3m1
Total magnetization: 0.0 μB per formula unit

***

(two)
Below is a relaxed structure of GeBiAs, with properties calculated at the GGA-PBE level.

Cell lengths 3.6847, 7.2930, 6.3497 Å; angles 90.00, 90.00, 90.00 degrees
With the nearest neighbours (Å) after each atom.
Element x y z (fractional)
As: 0.0000 0.1154 0.1340  3 Ge 2.49-2.61
Bi: 0.5000 0.5963 0.3239  1 Ge 2.83, 1 As 2.88
As: 0.5000 0.8846 0.6340  3 Ge 2.49-2.61
Ge: 0.0000 0.1013 0.5441  3 As 2.49-2.61
Bi: 0.0000 0.4037 0.8239  1 Ge 2.83, 1 As 2.88
Ge: 0.5000 0.8987 0.0441  3 As 2.49-2.61

Volume: 171 Å³ per cell
Space-group type: Pmn2_1
Total magnetization: 0.0 μB per formula unit

***

Stability comparison, relative energies in meV/atom: (one) 23; (two) 0

***

(one)
Below is a relaxed structure of GeBiAsSe2, with properties calculated at the GGA-PBE level.

Cell lengths 5.0317, 5.5722, 5.0317 Å; angles 90.00, 90.00, 90.00 degrees
With the nearest neighbours (Å) after each atom.
Element x y z (fractional)
As: 0.0000 0.0000 0.0000  4 Se 2.52, 2 Bi 2.79
Se: 0.5000 0.0000 0.0000  2 As 2.52
Se: 0.0000 0.0000 0.5000  2 As 2.52
Bi: 0.0000 0.5000 0.0000  2 As 2.79
Ge: 0.5000 0.5000 0.5000  4 Bi 3.56, 8 Se 3.75

Volume: 141 Å³ per cell
Space-group type: P4/mmm
Total magnetization: 0.0 μB per formula unit

***

(two)
Below is a relaxed structure of GeBiAsSe2, with properties calculated at the GGA-PBE level.

Cell lengths 5.4659, 5.4659, 5.4266 Å; angles 90.00, 90.00, 90.00 degrees
With the nearest neighbours (Å) after each atom.
Element x y z (fractional)
As: 0.0000 0.0000 0.5000  2 Bi 2.71
Bi: 0.0000 0.0000 0.0000  2 As 2.71, 4 Se 2.73
Ge: 0.5000 0.5000 0.5000  8 Se 3.85, 4 As 3.86
Se: 0.5000 0.0000 0.0000  2 Bi 2.73
Se: 0.0000 0.5000 0.0000  2 Bi 2.73

Volume: 162 Å³ per cell
Space-group type: P4/mmm
Total magnetization: 0.0 μB per formula unit

***

Stability comparison, relative energies in meV/atom: (one) 0; (two) 258

***

(one)
Below is a relaxed structure of Y2GeBiAs, with properties calculated at the GGA-PBE level.

Cell lengths 5.5112, 4.8534, 5.5112 Å; angles 90.00, 90.00, 90.00 degrees
With the nearest neighbours (Å) after each atom.
Element x y z (fractional)
Y: 0.5000 0.0000 0.0000  2 Ge 2.76
Y: 0.0000 0.0000 0.5000  2 Ge 2.76
Ge: 0.0000 0.0000 0.0000  2 As 2.43
As: 0.0000 0.5000 0.0000  2 Ge 2.43
Bi: 0.5000 0.5000 0.5000  8 Y 3.67, 4 As 3.90

Volume: 147 Å³ per cell
Space-group type: P4/mmm
Total magnetization: 0.0 μB per formula unit

***

(two)
Below is a relaxed structure of Y2GeBiAs, with properties calculated at the GGA-PBE level.

Cell lengths 5.7937, 5.2695, 5.7937 Å; angles 90.00, 90.00, 90.00 degrees
With the nearest neighbours (Å) after each atom.
Element x y z (fractional)
As: 0.5000 0.5000 0.5000  8 Y 3.92, 4 Ge 4.10
Bi: 0.0000 0.0000 0.0000  2 Ge 2.63, 4 Y 2.90
Ge: 0.0000 0.5000 0.0000  2 Bi 2.63
Y: 0.5000 0.0000 0.0000  2 Bi 2.90
Y: 0.0000 0.0000 0.5000  2 Bi 2.90

Volume: 177 Å³ per cell
Space-group type: P4/mmm
Total magnetization: 0.0 μB per formula unit

***

Stability comparison, relative energies in meV/atom: (one) 0; (two) 679

***

(one)
Below is a relaxed structure of Bi2AsH, with properties calculated at the GGA-PBE level.

Cell lengths 5.9811, 5.9811, 7.2084 Å; angles 65.49, 65.49, 90.00 degrees
With the nearest neighbours (Å) after each atom.
Element x y z (fractional)
Bi: 0.8750 0.7967 0.7500  2 H 2.33
Bi: 0.3750 0.4533 0.7500  2 H 2.33
As: 0.0000 0.0000 0.0000  4 Bi 2.87
H: 0.5000 0.5000 0.0000  4 Bi 2.33
As: 0.7500 0.2500 0.5000  4 Bi 2.87
Bi: 0.2033 0.6250 0.2500  2 H 2.33
H: 0.2500 0.7500 0.5000  4 Bi 2.33
Bi: 0.5467 0.1250 0.2500  2 H 2.33

Volume: 209 Å³ per cell
Space-group type: I-42d
Total magnetization: 0.0 μB per formula unit

***

(two)
Below is a relaxed structure of Bi2AsH, with properties calculated at the GGA-PBE level.

Cell lengths 5.0253, 5.0253, 5.0253 Å; angles 60.00, 60.00, 60.00 degrees
With the nearest neighbours (Å) after each atom.
Element x y z (fractional)
Bi: 0.2500 0.2500 0.2500  4 As 3.08, 4 H 3.08
H: 0.0000 0.0000 0.0000  8 Bi 3.08
Bi: 0.7500 0.7500 0.7500  4 As 3.08, 4 H 3.08
As: 0.5000 0.5000 0.5000  8 Bi 3.08

Volume: 90 Å³ per cell
Space-group type: Fm-3m
Total magnetization: 0.0 μB per formula unit

***

Stability comparison, relative energies in meV/atom: (one) 0; (two) 81

***

(one)
Below is a relaxed structure of BiAsH2, with properties calculated at the GGA-PBE level.

Cell lengths 4.2883, 4.2883, 4.2883 Å; angles 60.00, 60.00, 60.00 degrees
With the nearest neighbours (Å) after each atom.
Element x y z (fractional)
Bi: 0.5000 0.5000 0.5000  8 H 2.63
H: 0.7500 0.7500 0.7500  4 Bi 2.63, 4 As 2.63
As: 0.0000 0.0000 0.0000  8 H 2.63
H: 0.2500 0.2500 0.2500  4 Bi 2.63, 4 As 2.63

Volume: 56 Å³ per cell
Space-group type: Fm-3m
Total magnetization: 0.0 μB per formula unit

***

(two)
Below is a relaxed structure of BiAsH2, with properties calculated at the GGA-PBE level.

Cell lengths 5.6978, 5.6978, 5.6733 Å; angles 59.86, 59.86, 90.00 degrees
With the nearest neighbours (Å) after each atom.
Element x y z (fractional)
As: 0.2500 0.7500 0.5000  4 H 1.74
H: 0.8750 0.6266 0.7500  2 As 1.74
Bi: 0.7500 0.2500 0.5000  12 H 3.32-3.35, 4 As 3.48, 4 Bi 3.48
H: 0.3750 0.6234 0.7500  2 As 1.74
Bi: 0.0000 0.0000 0.0000  12 H 3.32-3.35, 4 Bi 3.48, 4 As 3.48
H: 0.3766 0.1250 0.2500  2 As 1.74
H: 0.3734 0.6250 0.2500  2 As 1.74
As: 0.5000 0.5000 0.0000  4 H 1.74

Volume: 130 Å³ per cell
Space-group type: I-42d
Total magnetization: 0.0 μB per formula unit

***

(three)
Below is a relaxed structure of BiAsH2, with properties calculated at the GGA-PBE level.

Cell lengths 3.7003, 7.6722, 11.9210 Å; angles 75.13, 90.00, 90.00 degrees
With the nearest neighbours (Å) after each atom.
Element x y z (fractional)
As: 0.6194 0.9681 0.7324  2 H 1.54-1.55
Bi: 0.9960 0.6799 0.5323  1 As 2.78, 1 Bi 3.05
As: 0.3806 0.0319 0.2676  2 H 1.54-1.55
As: 0.8806 0.4681 0.2324  2 H 1.54-1.55
As: 0.1194 0.5319 0.7676  2 H 1.54-1.55
H: 0.1806 0.3389 0.7550  1 As 1.54
H: 0.3194 0.8389 0.2550  1 As 1.54
H: 0.7211 0.4904 0.8051  1 As 1.55
Bi: 0.0040 0.3201 0.4677  1 As 2.78, 1 Bi 3.05
H: 0.2211 0.0096 0.6949  1 As 1.55
Bi: 0.5040 0.1799 0.0323  1 As 2.78, 1 Bi 3.05
Bi: 0.4960 0.8201 0.9677  1 As 2.78, 1 Bi 3.05
H: 0.2789 0.5096 0.1949  1 As 1.55
H: 0.7789 0.9904 0.3051  1 As 1.55
H: 0.8194 0.6611 0.2450  1 As 1.54
H: 0.6806 0.1611 0.7450  1 As 1.54

Volume: 327 Å³ per cell
Space-group type: P2_1/c
Total magnetization: 0.0 μB per formula unit

***

Stability comparison, relative energies in meV/atom: (one) 547; (two) 241; (three) 0